14
Lattice="-1.920 5.079 1.439 1.133 0.702 5.457 5.884 4.805 0.763" Properties=species:S:1:pos:R:3 comment="TlCoF5, optimized geometry, DFT PBE+U" magnetic_moment_mub_per_fu=3.000 dft_energy_ev_per_cell=-60.809 pbc="T T T"
F -0.816 3.999 2.814
F 2.292 2.351 5.237
Tl 3.864 6.717 3.816
Co 0.000 0.000 0.000
F 2.805 8.235 2.422
Tl 1.233 3.869 3.843
Co 2.942 2.402 0.382
F 0.285 4.827 5.475
F 4.813 5.759 2.184
F 1.783 5.889 2.899
F 2.989 7.571 5.543
F 2.109 3.015 2.116
F 3.314 4.698 4.760
F 5.913 6.588 4.845